Material: YTaNi10
Method: DFT, GGA-PBE
State: relaxed

Structure (POSCAR):
```
YTaNi10
1.0
-3.255 0.655 2.171
-0.785 -4.687 0.237
4.515 -0.408 6.892
Ni Ta Y
10 1 1
Cartesian
1.509 -1.176 6.242
-0.652 -0.981 2.943
1.127 -3.459 6.357
0.630 0.123 4.532
-1.034 -3.264 3.059
-2.020 -2.016 1.204
3.299 -2.677 5.752
0.432 -2.418 1.377
1.553 -0.140 2.370
2.963 -0.268 4.522
1.865 -2.547 3.564
0.000 0.000 0.000
```

Calculated values
energy relative to the elements = -183 meV/atom
electronic total energy = -78.3 eV/f.u.
total magnetization = 1.93 μB/f.u.
DOS(E_F) = 14.95 states/eV/cell